A plane-wave DFT calculation with GGA-PBE was carried out for a relaxed structure of Sr2As2Pd.

The space group is P4/mbm (No. 127) and the conventional cell measures 8.857, 8.857 and 3.484 Å, with angles of 90.00, 90.00 and 90.00 degrees. The inequivalent atoms are Sr at (0.140, 0.360, 0.000), As at (0.165, 0.665, 0.500) and Pd at (0.000, 0.000, 0.000).

The total energy is -3.87 eV/atom. The value obtained for the volume is 27.32 A^3/atom. The value obtained for the formation enthalpy at 0 K is -302 meV/atom. Its magnetization is 0.00 μB/atom.


A plane-wave DFT calculation with GGA-PBE was carried out for a relaxed structure of SrAsPd2.

The space group is I-42d (No. 122) and the conventional cell measures 5.088, 5.088 and 16.494 Å, with angles of 90.00, 90.00 and 90.00 degrees. The inequivalent atoms are Sr at (0.000, 0.000, 0.000), As at (0.000, 0.000, 0.500) and Pd at (0.040, 0.250, 0.625).

The total energy is -4.80 eV/atom. The value obtained for the volume is 26.69 A^3/atom. The value obtained for the formation enthalpy at 0 K is -616 meV/atom. Its magnetization is 0.00 μB/atom.


A plane-wave DFT calculation with GGA-PBE was carried out for a relaxed structure of SrAs2Pd6.

The space group is P6/mmm (No. 191) and the conventional cell measures 5.8670, 5.8670 and 6.3000 Å, with angles of 90.00, 90.00 and 120.00 degrees. The inequivalent atoms are Sr at (0.0000, 0.0000, 0.0000), As at (0.3333, 0.6667, 0.5000) and Pd at (0.0000, 0.5000, 0.2190).

The total energy is -5.05 eV/atom. The energy relative to the lowest polymorph listed for this composition is 0.874 eV per formula unit. The value obtained for the volume is 20.87 A^3/atom. The value obtained for the formation enthalpy at 0 K is -370 meV/atom. Its magnetization is 0.00 μB/atom.


A plane-wave DFT calculation with GGA-PBE was carried out for a relaxed structure of SrAs2Pd2.

The space group is I4/mmm (No. 139) and the conventional cell measures 4.730, 4.730 and 9.555 Å, with angles of 90.00, 90.00 and 90.00 degrees. The inequivalent atoms are Sr at (0.000, 0.000, 0.000), As at (0.000, 0.500, 0.250) and Pd at (0.000, 0.000, 0.352).

The total energy is -4.96 eV/atom. The value obtained for the volume is 21.38 A^3/atom. The value obtained for the formation enthalpy at 0 K is -687 meV/atom. Its magnetization is 0.00 μB/atom.


- Which of these has the highest volume?
  Sr2As2Pd


- Which of these has the lowest volume?
  SrAs2Pd6


- Which formula does entry 1 have?
  Sr2As2Pd